## ZrTl2SiPt (PBE-GGA)

Data for an optimized crystal structure of ZrTl2SiPt.

The structure belongs to space group P4/mmm (No. 123); the cell edges are 5.5749, 5.5749 and 5.0179 Å and the angles 90.00°, 90.00° and 90.00°. Symmetry generates all atoms from Zr at (0.0000, 0.0000, 0.0000), Tl at (0.0000, 0.5000, 0.0000), Si at (0.0000, 0.0000, 0.5000) and Pt at (0.5000, 0.5000, 0.5000).


## Rb2AuCBr6 (PBE-GGA)

Data for an optimized crystal structure of Rb2AuCBr6.

The structure belongs to space group I4/mmm (No. 139); the cell edges are 7.4003, 7.4003 and 10.3454 Å and the angles 90.00°, 90.00° and 90.00°. Symmetry generates all atoms from Rb at (0.0000, 0.5000, 0.2500), Au at (0.0000, 0.0000, 0.0000), C at (0.0000, 0.0000, 0.5000), Br at (0.0000, 0.0000, 0.2618) and Br at (0.2393, 0.2393, 0.5000).


## Ac2Zn12Ir5 (PBE-GGA)

Data for an optimized crystal structure of Ac2Zn12Ir5.

The calculation puts the calculated formation energy at -0.271 eV per atom.

The structure belongs to space group R-3m (No. 166, hexagonal axes); the cell edges are 9.2672, 9.2672 and 13.2815 Å and the angles 90.00°, 90.00° and 120.00°. Symmetry generates all atoms from Ac at (0.0000, 0.0000, 0.1695), Zn at (0.0000, 0.2824, 0.5000), Zn at (0.0071, 0.5035, 0.3446), Ir at (0.0000, 0.0000, 0.4003) and Ir at (0.0000, 0.5000, 0.0000).


## NdEr3Th3 (PBE-GGA)

Data for an optimized crystal structure of NdEr3Th3.

The calculation puts the calculated formation energy at 0.070 eV per atom.

The structure belongs to space group P6_3/m (No. 176); the cell edges are 9.4864, 9.4864 and 5.8252 Å and the angles 90.00°, 90.00° and 120.00°. Symmetry generates all atoms from Nd at (0.3333, 0.6667, 0.2500), Er at (0.0423, 0.2364, 0.2500) and Th at (0.1006, 0.4835, 0.7500).


## Ac4Tl5Ni2 (PBE-GGA)

Data for an optimized crystal structure of Ac4Tl5Ni2.

The calculation puts the calculated formation energy at -0.290 eV per atom.

The structure belongs to space group P2/m (No. 10); the cell edges are 8.2509, 4.0298 and 10.1398 Å and the angles 90.00°, 95.52° and 90.00°. Symmetry generates all atoms from Ac at (0.1822, 0.0000, 0.3391), Ac at (0.2190, 0.0000, 0.9337), Tl at (0.1647, 0.5000, 0.6412), Tl at (0.4531, 0.5000, 0.1723), Tl at (0.5000, 0.5000, 0.5000) and Ni at (0.0685, 0.5000, 0.1208).


What total magnetic moment values result from the calculations? In sequence: 0.000; 0.000; 0.000; 0.000; 0.000 μB/cell.
What DFT total energy values result from the calculations? In sequence: -3.8376; -2.7316; -3.8397; -5.7462; -3.9105 eV per atom.